The following is a DFT calculation (PBE) of a relaxed PrY3Tm crystal.

Cell lengths 6.2956, 5.7200, 9.6449 Å; angles 90.00, 108.81, 90.00 degrees
With the nearest neighbours (Å) after each atom.
Space group P2_1/m (No. 11)
Symmetry-distinct sites (fractional):
Pr 0.1331 0.2500 0.1024 [2 per cell]  8 Y 3.55-3.71, 2 Pr 3.57, 2 Tm 3.63-3.64
Y 0.0655 0.7500 0.3035 [2 per cell]  6 Y 3.54-3.66, 3 Tm 3.54-3.60, 3 Pr 3.56-3.71
Y 0.3308 0.2500 0.5000 [2 per cell]  4 Tm 3.53-3.63, 7 Y 3.54-3.66, 1 Pr 3.63
Y 0.4671 0.7500 0.1028 [2 per cell]  3 Tm 3.55-3.70, 4 Pr 3.55-3.67, 5 Y 3.58-3.65
Tm 0.2675 0.7500 0.6980 [2 per cell]  10 Y 3.53-3.70, 2 Pr 3.63-3.64

Summary:
**ΔE to the lowest computed polymorph**: 0.0000 eV/atom
**Size of the total moment**: 0.0 μB per formula unit
**Formation energy**: 11 meV per atom
**Calculated total energy**: -5.72 eV/atom

***

The following is a DFT calculation (PBE) of a relaxed Pr2Y4Tm5 crystal.

Cell lengths 23.8118, 3.4573, 8.7271 Å; angles 90.00, 96.14, 90.00 degrees
With the nearest neighbours (Å) after each atom.
Space group C2/m (No. 12)
Symmetry-distinct sites (fractional):
Pr 0.0928 0.0000 0.2501 [4 per cell]  4 Y 3.34-3.74, 4 Tm 3.35-3.70, 2 Pr 3.46
Y 0.0457 0.0000 0.8598 [4 per cell]  1 Tm 3.24, 2 Pr 3.34-3.47, 3 Y 3.44-3.46
Y 0.1788 0.5000 0.9758 [4 per cell]  6 Y 3.46-3.79, 5 Tm 3.54-3.66, 2 Pr 3.74
Tm 0.0000 0.5000 0.5000 [2 per cell]  6 Tm 3.46-3.85, 4 Y 3.65, 4 Pr 3.70
Tm 0.1419 0.0000 0.6242 [4 per cell]  3 Y 3.24-3.55, 1 Pr 3.35, 5 Tm 3.40-3.56
Tm 0.2343 0.0000 0.3290 [4 per cell]  1 Pr 3.37, 7 Tm 3.40-3.56, 3 Y 3.54-3.66

Summary:
**ΔE to the lowest computed polymorph**: 0.0000 eV/atom
**Size of the total moment**: 0.0 μB per formula unit
**Formation energy**: 153 meV per atom
**Calculated total energy**: -5.10 eV/atom

***

The following is a DFT calculation (PBE) of a relaxed Pr6YTm12 crystal.

Cell lengths 11.0790, 11.0790, 17.4470 Å; angles 90.00, 90.00, 120.00 degrees
With the nearest neighbours (Å) after each atom.
Space group R-3m (No. 166, hexagonal axes)
Symmetry-distinct sites (fractional):
Pr 0.0660 0.5330 0.2670 [18 per cell]  1 Y 3.11, 3 Tm 3.32-3.35
Y 0.0000 0.0000 0.5000 [3 per cell]  6 Pr 3.11
Tm 0.1036 0.5518 0.9142 [18 per cell]  7 Tm 3.43-3.82, 5 Pr 3.55-3.68
Tm 0.1057 0.2114 0.9067 [18 per cell]  3 Pr 3.32-3.35, 5 Tm 3.43-3.51

Summary:
**ΔE to the lowest computed polymorph**: 0.0000 eV/atom
**Size of the total moment**: 0.0 μB per formula unit
**Formation energy**: 132 meV per atom
**Calculated total energy**: -4.54 eV/atom

***

Repeat the third record exactly.
The following is a DFT calculation (PBE) of a relaxed Pr6YTm12 crystal.

Cell lengths 11.0790, 11.0790, 17.4470 Å; angles 90.00, 90.00, 120.00 degrees
With the nearest neighbours (Å) after each atom.
Space group R-3m (No. 166, hexagonal axes)
Symmetry-distinct sites (fractional):
Pr 0.0660 0.5330 0.2670 [18 per cell]  1 Y 3.11, 3 Tm 3.32-3.35
Y 0.0000 0.0000 0.5000 [3 per cell]  6 Pr 3.11
Tm 0.1036 0.5518 0.9142 [18 per cell]  7 Tm 3.43-3.82, 5 Pr 3.55-3.68
Tm 0.1057 0.2114 0.9067 [18 per cell]  3 Pr 3.32-3.35, 5 Tm 3.43-3.51

Summary:
**ΔE to the lowest computed polymorph**: 0.0000 eV/atom
**Size of the total moment**: 0.0 μB per formula unit
**Formation energy**: 132 meV per atom
**Calculated total energy**: -4.54 eV/atom